No. 1
# Ho3ScPb2C | Alexandria via LeMat-Bulk | PBE-GGA | relaxed
data_Ho3ScPb2C
_space_group_name_H-M_alt 'I m m m'
_space_group_IT_number 71
_space_group_name_Hall '-I 2 2'
_cell_length_a 4.585
_cell_length_b 4.780
_cell_length_c 15.981
_cell_angle_alpha 90.00
_cell_angle_beta 90.00
_cell_angle_gamma 90.00
loop_
_atom_site_label
_atom_site_type_symbol
_atom_site_fract_x
_atom_site_fract_y
_atom_site_fract_z
Ho1 Ho 0.000 0.000 0.000
Ho2 Ho 0.000 0.500 0.156
Sc1 Sc 0.000 0.000 0.500
Pb1 Pb 0.000 0.500 0.358
C1 C 0.000 0.500 0.000
# final energy = -5.85 eV per atom
# Fermi-level density of states = 1.3 states/eV per cell

No. 2
# LuGa2Sn | Alexandria via LeMat-Bulk | PBE-GGA | relaxed
data_LuGa2Sn
_space_group_name_H-M_alt 'F m -3 m'
_space_group_IT_number 225
_space_group_name_Hall '-F 4 2 3'
_cell_length_a 7.118
_cell_length_b 7.118
_cell_length_c 7.118
_cell_angle_alpha 90.00
_cell_angle_beta 90.00
_cell_angle_gamma 90.00
loop_
_atom_site_label
_atom_site_type_symbol
_atom_site_fract_x
_atom_site_fract_y
_atom_site_fract_z
Lu1 Lu 0.000 0.000 0.000
Ga1 Ga 0.250 0.250 0.250
Sn1 Sn 0.000 0.000 0.500
# final energy = -3.84 eV per atom
# Fermi-level density of states = 7.0 states/eV per cell

No. 3
# Ca8Al2Cd | Alexandria via LeMat-Bulk | PBE-GGA | relaxed
data_Ca8Al2Cd
_space_group_name_H-M_alt 'I m m m'
_space_group_IT_number 71
_space_group_name_Hall '-I 2 2'
_cell_length_a 5.289
_cell_length_b 8.852
_cell_length_c 15.229
_cell_angle_alpha 90.00
_cell_angle_beta 90.00
_cell_angle_gamma 90.00
loop_
_atom_site_label
_atom_site_type_symbol
_atom_site_fract_x
_atom_site_fract_y
_atom_site_fract_z
Ca1 Ca 0.000 0.000 0.142
Ca2 Ca 0.000 0.212 0.340
Ca3 Ca 0.000 0.318 0.000
Al1 Al 0.000 0.500 0.194
Cd1 Cd 0.000 0.500 0.500
# final energy = -2.34 eV per atom
# Fermi-level density of states = 14.6 states/eV per cell

No. 4
# MnZn2N | Alexandria via LeMat-Bulk | PBE-GGA | relaxed
data_MnZn2N
_space_group_name_H-M_alt 'I -4 2 d'
_space_group_IT_number 122
_space_group_name_Hall 'I -4 2bw'
_cell_length_a 7.286
_cell_length_b 7.286
_cell_length_c 4.036
_cell_angle_alpha 90.00
_cell_angle_beta 90.00
_cell_angle_gamma 90.00
loop_
_atom_site_label
_atom_site_type_symbol
_atom_site_fract_x
_atom_site_fract_y
_atom_site_fract_z
Mn1 Mn 0.000 0.000 0.000
Zn1 Zn 0.152 0.250 0.625
N1 N 0.000 0.000 0.500
# final energy = -4.75 eV per atom
# Fermi-level density of states = 7.2 states/eV per cell
# raw formation energy = 0.26 eV/atom

No. 5
# Cd2SnBi | Alexandria via LeMat-Bulk | PBE-GGA | relaxed
data_Cd2SnBi
_space_group_name_H-M_alt 'F m -3 m'
_space_group_IT_number 225
_space_group_name_Hall '-F 4 2 3'
_cell_length_a 7.561
_cell_length_b 7.561
_cell_length_c 7.561
_cell_angle_alpha 90.00
_cell_angle_beta 90.00
_cell_angle_gamma 90.00
loop_
_atom_site_label
_atom_site_type_symbol
_atom_site_fract_x
_atom_site_fract_y
_atom_site_fract_z
Cd1 Cd 0.250 0.250 0.250
Sn1 Sn 0.000 0.000 0.000
Bi1 Bi 0.000 0.000 0.500
# final energy = -2.32 eV per atom
# Fermi-level density of states = 10.0 states/eV per cell

No. 6
# TiSiB2Mo | Alexandria via LeMat-Bulk | PBE-GGA | relaxed
data_TiSiB2Mo
_space_group_name_H-M_alt 'P 4/m m m'
_space_group_IT_number 123
_space_group_name_Hall '-P 4 2'
_cell_length_a 3.941
_cell_length_b 3.941
_cell_length_c 4.557
_cell_angle_alpha 90.00
_cell_angle_beta 90.00
_cell_angle_gamma 90.00
loop_
_atom_site_label
_atom_site_type_symbol
_atom_site_fract_x
_atom_site_fract_y
_atom_site_fract_z
Ti1 Ti 0.000 0.000 0.000
Si1 Si 0.000 0.000 0.500
B1 B 0.000 0.500 0.000
Mo1 Mo 0.500 0.500 0.500
# final energy = -6.07 eV per atom
# Fermi-level density of states = 5.2 states/eV per cell
# raw formation energy = 1.43 eV/atom

No. 7
# DyYScTl | Alexandria via LeMat-Bulk | PBE-GGA | relaxed
data_DyYScTl
_space_group_name_H-M_alt 'P m m m'
_space_group_IT_number 47
_cell_length_a 4.712
_cell_length_b 4.768
_cell_length_c 4.793
_cell_angle_alpha 90.00
_cell_angle_beta 90.00
_cell_angle_gamma 90.00
loop_
_space_group_symop_operation_xyz
'x,y,z'
'-x,-y,-z'
'-x,-y,z'
'x,y,-z'
'x,-y,-z'
'-x,y,z'
'-x,y,-z'
'x,-y,z'
loop_
_atom_site_label
_atom_site_type_symbol
_atom_site_fract_x
_atom_site_fract_y
_atom_site_fract_z
Dy1 Dy 0.000 0.000 0.000
Y1 Y 0.000 0.500 0.500
Sc1 Sc 0.500 0.500 0.000
Tl1 Tl 0.500 0.000 0.500
# final energy = -5.12 eV per atom
# Fermi-level density of states = 4.3 states/eV per cell

No. 8
# LaY3Ru | Alexandria via LeMat-Bulk | PBE-GGA | relaxed
data_LaY3Ru
_space_group_name_H-M_alt 'C 1 2/m 1'
_space_group_IT_number 12
_cell_length_a 17.919
_cell_length_b 5.116
_cell_length_c 6.381
_cell_angle_alpha 90.00
_cell_angle_beta 99.84
_cell_angle_gamma 90.00
loop_
_space_group_symop_operation_xyz
'x,y,z'
'-x,-y,-z'
'-x,y,-z'
'x,-y,z'
'x+1/2,y+1/2,z'
'-x+1/2,-y+1/2,-z'
'-x+1/2,y+1/2,-z'
'x+1/2,-y+1/2,z'
loop_
_atom_site_label
_atom_site_type_symbol
_atom_site_fract_x
_atom_site_fract_y
_atom_site_fract_z
La1 La 0.085 0.000 0.291
Y1 Y 0.037 0.500 0.774
Y2 Y 0.188 0.000 0.899
Y3 Y 0.200 0.500 0.551
Ru1 Ru 0.146 0.500 0.122
# final energy = -6.83 eV per atom
# Fermi-level density of states = 20.4 states/eV per cell

No. 9
# TaIn2Sb | Alexandria via LeMat-Bulk | PBE-GGA | relaxed
data_TaIn2Sb
_space_group_name_H-M_alt 'C 1 m 1'
_space_group_IT_number 8
_cell_length_a 11.674
_cell_length_b 3.046
_cell_length_c 5.491
_cell_angle_alpha 90.00
_cell_angle_beta 105.77
_cell_angle_gamma 90.00
loop_
_space_group_symop_operation_xyz
'x,y,z'
'x,-y,z'
'x+1/2,y+1/2,z'
'x+1/2,-y+1/2,z'
loop_
_atom_site_label
_atom_site_type_symbol
_atom_site_fract_x
_atom_site_fract_y
_atom_site_fract_z
Ta1 Ta 0.000 0.000 0.000
In1 In 0.259 0.000 0.865
In2 In 0.474 0.000 0.507
Sb1 Sb 0.197 0.500 0.316
# final energy = -5.10 eV per atom
# Fermi-level density of states = 6.2 states/eV per cell
# raw formation energy = 0.26 eV/atom

No. 10
# ReSi2C2 | Alexandria via LeMat-Bulk | PBE-GGA | relaxed
data_ReSi2C2
_space_group_name_H-M_alt 'P 4/m b m'
_space_group_IT_number 127
_space_group_name_Hall '-P 4 2ab'
_cell_length_a 6.106
_cell_length_b 6.106
_cell_length_c 3.153
_cell_angle_alpha 90.00
_cell_angle_beta 90.00
_cell_angle_gamma 90.00
loop_
_atom_site_label
_atom_site_type_symbol
_atom_site_fract_x
_atom_site_fract_y
_atom_site_fract_z
Re1 Re 0.000 0.000 0.000
Si1 Si 0.135 0.365 0.500
C1 C 0.240 0.260 0.000
# final energy = -7.60 eV per atom
# Fermi-level density of states = 5.0 states/eV per cell
# raw formation energy = 0.74 eV/atom

No. 11
# Al2FeHgMo | Alexandria via LeMat-Bulk | PBE-GGA | relaxed
data_Al2FeHgMo
_space_group_name_H-M_alt 'P 4/m m m'
_space_group_IT_number 123
_space_group_name_Hall '-P 4 2'
_cell_length_a 4.790
_cell_length_b 4.790
_cell_length_c 4.896
_cell_angle_alpha 90.00
_cell_angle_beta 90.00
_cell_angle_gamma 90.00
loop_
_atom_site_label
_atom_site_type_symbol
_atom_site_fract_x
_atom_site_fract_y
_atom_site_fract_z
Al1 Al 0.000 0.500 0.000
Fe1 Fe 0.000 0.000 0.500
Hg1 Hg 0.000 0.000 0.000
Mo1 Mo 0.500 0.500 0.500
# final energy = -3.88 eV per atom
# Fermi-level density of states = 4.6 states/eV per cell

No. 12
# DyPuZnPb | Alexandria via LeMat-Bulk | PBE-GGA | relaxed
data_DyPuZnPb
_space_group_name_H-M_alt 'F -4 3 m'
_space_group_IT_number 216
_space_group_name_Hall 'F -4 2 3'
_cell_length_a 7.471
_cell_length_b 7.471
_cell_length_c 7.471
_cell_angle_alpha 90.00
_cell_angle_beta 90.00
_cell_angle_gamma 90.00
loop_
_atom_site_label
_atom_site_type_symbol
_atom_site_fract_x
_atom_site_fract_y
_atom_site_fract_z
Dy1 Dy 0.000 0.000 0.000
Pu1 Pu 0.000 0.000 0.500
Zn1 Zn 0.250 0.250 0.750
Pb1 Pb 0.250 0.250 0.250
# final energy = -6.18 eV per atom
# Fermi-level density of states = 38.4 states/eV per cell

No. 13
# MgTaAu | Alexandria via LeMat-Bulk | PBE-GGA | relaxed
data_MgTaAu
_space_group_name_H-M_alt 'P -1'
_space_group_IT_number 2
_cell_length_a 2.991
_cell_length_b 5.296
_cell_length_c 7.589
_cell_angle_alpha 77.58
_cell_angle_beta 78.69
_cell_angle_gamma 73.77
loop_
_space_group_symop_operation_xyz
'x,y,z'
'-x,-y,-z'
loop_
_atom_site_label
_atom_site_type_symbol
_atom_site_fract_x
_atom_site_fract_y
_atom_site_fract_z
Mg1 Mg 0.079 0.167 0.173
Ta1 Ta 0.353 0.259 0.535
Au1 Au 0.356 0.631 0.159
# final energy = -5.68 eV per atom
# Fermi-level density of states = 2.5 states/eV per cell

No. 14
# Pb4SeS3 | Alexandria via LeMat-Bulk | PBE-GGA | relaxed
data_Pb4SeS3
_space_group_name_H-M_alt 'P m n 21'
_space_group_IT_number 31
_cell_length_a 12.139
_cell_length_b 6.051
_cell_length_c 6.050
_cell_angle_alpha 90.00
_cell_angle_beta 90.00
_cell_angle_gamma 90.00
loop_
_space_group_symop_operation_xyz
'x,y,z'
'-x+1/2,-y,z+1/2'
'-x,y,z'
'x+1/2,-y,z+1/2'
loop_
_atom_site_label
_atom_site_type_symbol
_atom_site_fract_x
_atom_site_fract_y
_atom_site_fract_z
Pb1 Pb 0.000 0.249 0.000
Pb2 Pb 0.000 0.749 0.499
Pb3 Pb 0.244 0.249 0.500
Se1 Se 0.000 0.749 0.999
S1 S 0.000 0.250 0.499
S2 S 0.250 0.249 0.998
# final energy = -4.37 eV per atom
# raw formation energy = -0.54 eV/atom

No. 15
# VGaTeI2 | Alexandria via LeMat-Bulk | PBE-GGA | relaxed
data_VGaTeI2
_space_group_name_H-M_alt 'P 4/m m m'
_space_group_IT_number 123
_space_group_name_Hall '-P 4 2'
_cell_length_a 5.730
_cell_length_b 5.730
_cell_length_c 5.192
_cell_angle_alpha 90.00
_cell_angle_beta 90.00
_cell_angle_gamma 90.00
loop_
_atom_site_label
_atom_site_type_symbol
_atom_site_fract_x
_atom_site_fract_y
_atom_site_fract_z
V1 V 0.000 0.000 0.000
Ga1 Ga 0.500 0.500 0.500
Te1 Te 0.000 0.000 0.500
I1 I 0.000 0.500 0.000
# final energy = -3.72 eV per atom
# Fermi-level density of states = 1.9 states/eV per cell
# raw formation energy = -0.05 eV/atom

No. 16
# MgTePd | Alexandria via LeMat-Bulk | PBE-GGA | relaxed
data_MgTePd
_space_group_name_H-M_alt 'P 1'
_space_group_IT_number 1
_cell_length_a 4.466
_cell_length_b 4.487
_cell_length_c 8.078
_cell_angle_alpha 92.53
_cell_angle_beta 92.32
_cell_angle_gamma 119.46
loop_
_space_group_symop_operation_xyz
'x,y,z'
loop_
_atom_site_label
_atom_site_type_symbol
_atom_site_fract_x
_atom_site_fract_y
_atom_site_fract_z
Mg1 Mg 0.000 0.000 0.000
Mg2 Mg 0.354 0.639 0.504
Te1 Te 0.583 0.250 0.741
Te2 Te 0.753 0.440 0.263
Pd1 Pd 0.260 0.599 0.828
Pd2 Pd 0.409 0.767 0.183
# final energy = -3.82 eV per atom
# Fermi-level density of states = 2.2 states/eV per cell
# raw formation energy = -0.51 eV/atom

No. 17
# ZrHg2Au | Alexandria via LeMat-Bulk | PBE-GGA | relaxed
data_ZrHg2Au
_space_group_name_H-M_alt 'P 1 m 1'
_space_group_IT_number 6
_cell_length_a 3.077
_cell_length_b 4.431
_cell_length_c 6.472
_cell_angle_alpha 90.00
_cell_angle_beta 103.63
_cell_angle_gamma 90.00
loop_
_space_group_symop_operation_xyz
'x,y,z'
'x,-y,z'
loop_
_atom_site_label
_atom_site_type_symbol
_atom_site_fract_x
_atom_site_fract_y
_atom_site_fract_z
Zr1 Zr 0.000 0.000 0.000
Hg1 Hg 0.363 0.500 0.730
Hg2 Hg 0.739 0.000 0.483
Au1 Au 0.598 0.500 0.197
# final energy = -3.24 eV per atom
# Fermi-level density of states = 2.0 states/eV per cell

No. 18
# Y2CuTe | Alexandria via LeMat-Bulk | PBE-GGA | relaxed
data_Y2CuTe
_space_group_name_H-M_alt 'A m m 2'
_space_group_IT_number 38
_cell_length_a 4.151
_cell_length_b 4.211
_cell_length_c 11.297
_cell_angle_alpha 90.00
_cell_angle_beta 90.00
_cell_angle_gamma 90.00
loop_
_space_group_symop_operation_xyz
'x,y,z'
'-x,-y,z'
'-x,y,z'
'x,-y,z'
'x,y+1/2,z+1/2'
'-x,-y+1/2,z+1/2'
'-x,y+1/2,z+1/2'
'x,-y+1/2,z+1/2'
loop_
_atom_site_label
_atom_site_type_symbol
_atom_site_fract_x
_atom_site_fract_y
_atom_site_fract_z
Y1 Y 0.000 0.000 0.000
Y2 Y 0.500 0.000 0.295
Cu1 Cu 0.000 0.000 0.746
Te1 Te 0.500 0.000 0.576
# final energy = -5.76 eV per atom
# Fermi-level density of states = 5.6 states/eV per cell
# raw formation energy = -0.72 eV/atom

No. 19
# PmTmMn | Alexandria via LeMat-Bulk | PBE-GGA | relaxed
data_PmTmMn
_space_group_name_H-M_alt 'I 4 m m'
_space_group_IT_number 107
_space_group_name_Hall 'I 4 -2'
_cell_length_a 3.505
_cell_length_b 3.505
_cell_length_c 12.743
_cell_angle_alpha 90.00
_cell_angle_beta 90.00
_cell_angle_gamma 90.00
loop_
_atom_site_label
_atom_site_type_symbol
_atom_site_fract_x
_atom_site_fract_y
_atom_site_fract_z
Pm1 Pm 0.000 0.000 0.000
Tm1 Tm 0.000 0.000 0.275
Mn1 Mn 0.000 0.000 0.645
# final energy = -5.96 eV per atom
# Fermi-level density of states = 9.0 states/eV per cell

No. 20
# PrNbFeP2 | Alexandria via LeMat-Bulk | PBE-GGA | relaxed
data_PrNbFeP2
_space_group_name_H-M_alt 'I -4 m 2'
_space_group_IT_number 119
_space_group_name_Hall 'I -4 -2'
_cell_length_a 3.881
_cell_length_b 3.881
_cell_length_c 12.133
_cell_angle_alpha 90.00
_cell_angle_beta 90.00
_cell_angle_gamma 90.00
loop_
_atom_site_label
_atom_site_type_symbol
_atom_site_fract_x
_atom_site_fract_y
_atom_site_fract_z
Pr1 Pr 0.000 0.000 0.000
Nb1 Nb 0.000 0.500 0.750
Fe1 Fe 0.000 0.500 0.250
P1 P 0.000 0.000 0.373
# final energy = -7.65 eV per atom
# Fermi-level density of states = 6.8 states/eV per cell